[1]
Er2Hf3ZrN6 | Alexandria | GGA-PBE | optimized geometry; energy = -9.912 eV/atom; ΔE_f (raw) = -1.79 eV per atom; total magnetic moment = 0.0 μB per cell
1.0
-0.704 -5.350 1.723
5.174 2.306 -0.032
-2.237 2.746 4.485
Er Hf Zr N
2 3 1 6
Direct
0.333 0.667 0.000
0.667 0.333 0.000
0.167 0.833 0.500
0.833 0.167 0.500
0.500 0.500 0.500
0.000 0.000 0.000
0.911 0.580 0.733
0.759 0.759 0.271
0.089 0.420 0.267
0.580 0.911 0.733
0.241 0.241 0.729
0.420 0.089 0.267



[2]
AlInP | Alexandria | GGA-PBE | optimized geometry; energy = -3.923 eV/atom; energy above the most stable polymorph in this dataset = 188 meV/atom; calculated formation energy = 0.0407 eV per atom; total magnetic moment = 0.0 μB per cell
1.0
3.833 -0.064 0.000
-1.260 3.620 0.000
0.000 0.000 5.028
P Al In
1 1 1
Direct
0.258 0.742 0.000
0.891 0.109 0.000
0.575 0.425 0.500



[3]
CuNiBr2 | Alexandria | GGA-PBE | optimized geometry; energy = -3.386 eV/atom; energy above the most stable polymorph in this dataset = 32 meV/atom; ΔE_f (raw) = -0.08 eV per atom; total magnetic moment = 1.0 μB per cell
1.0
-4.074 5.420 3.748
-6.412 2.500 3.559
-3.787 2.628 6.227
Cu Ni Br
1 1 2
Direct
0.511 0.511 0.511
0.243 0.243 0.243
0.956 0.956 0.956
0.790 0.790 0.790



[4]
Sr3PmIr8 | Alexandria | GGA-PBE | optimized geometry; energy = -7.104 eV/atom; calculated formation energy = -0.3800 eV per atom; total magnetic moment = 0.0 μB per cell
1.0
5.236 0.000 1.581
2.379 4.664 1.581
0.002 0.001 9.457
Sr Pm Ir
3 1 8
Direct
0.375 0.375 0.876
0.001 0.001 0.996
0.499 0.499 0.504
0.875 0.875 0.375
0.934 0.437 0.192
0.442 0.938 0.683
0.437 0.437 0.192
0.938 0.938 0.683
0.188 0.188 0.437
0.688 0.688 0.937
0.437 0.934 0.192
0.938 0.442 0.683



[5]
InNiRh2 | Alexandria | GGA-PBE | optimized geometry; energy = -5.915 eV/atom; calculated formation energy = -0.1092 eV per atom; total magnetic moment = 0.0 μB per cell
1.0
4.054 0.291 0.000
-0.290 4.054 0.000
0.000 0.000 3.604
In Ni Rh
1 1 2
Direct
0.500 0.000 0.500
0.000 0.500 0.500
0.000 0.000 0.000
0.500 0.500 0.000



[6]
HfTlAgSe3 | Alexandria | GGA-PBE | optimized geometry; energy = -5.083 eV/atom; ΔE_f (raw) = -0.81 eV per atom; total magnetic moment = 0.0 μB per cell
1.0
3.944 0.000 0.000
0.000 8.556 0.448
0.000 -3.728 9.151
Hf Tl Ag Se
2 2 2 6
Direct
0.250 0.687 0.159
0.750 0.313 0.841
0.250 0.236 0.278
0.750 0.764 0.722
0.250 0.070 0.608
0.750 0.930 0.392
0.750 0.884 0.117
0.250 0.116 0.883
0.250 0.735 0.437
0.750 0.265 0.563
0.750 0.457 0.136
0.250 0.543 0.864